(1)
ScMn3I | GGA-PBE | optimized geometry

Cell and atoms, written as CIF:
```
data_ScMn3I
_cell_length_a 4.7729
_cell_length_b 4.7729
_cell_length_c 4.7729
_cell_angle_alpha 90.00
_cell_angle_beta 90.00
_cell_angle_gamma 90.00
_symmetry_space_group_name_H-M 'P m -3 m'
_symmetry_Int_Tables_number 221
_symmetry_space_group_name_Hall '-P 4 2 3'
loop_
_atom_site_label
_atom_site_fract_x
_atom_site_fract_y
_atom_site_fract_z
Sc1 0.0000 0.0000 0.0000
Mn1 0.0000 0.5000 0.5000
I1 0.5000 0.5000 0.5000
```

Calculated volume (Å³/f.u.): 108.7
Formation energy (no corrections) (kJ/mol of formula units): 534
Electronic total energy (eV per atom): -5.97

---

(2)
ScMn3I9 | GGA-PBE | optimized geometry

Cell and atoms, written as CIF:
```
data_ScMn3I9
_cell_length_a 19.8754
_cell_length_b 10.3232
_cell_length_c 14.3935
_cell_angle_alpha 90.00
_cell_angle_beta 128.18
_cell_angle_gamma 90.00
_symmetry_space_group_name_H-M 'C 1 c 1'
_symmetry_Int_Tables_number 9
loop_
_symmetry_equiv_pos_as_xyz
'x,y,z'
'x,-y,z+1/2'
'x+1/2,y+1/2,z'
'x+1/2,-y+1/2,z+1/2'
loop_
_atom_site_label
_atom_site_fract_x
_atom_site_fract_y
_atom_site_fract_z
Sc1 0.0000 0.2235 0.0000
Mn1 0.1340 0.4301 0.8306
Mn2 0.2688 0.0577 0.7833
Mn3 0.3679 0.3805 0.6784
I1 0.0023 0.3105 0.8072
I2 0.0048 0.0881 0.1829
I3 0.1024 0.4464 0.1393
I4 0.1418 0.0474 0.0710
I5 0.1999 0.3718 0.4872
I6 0.2501 0.2372 0.9052
I7 0.3522 0.1330 0.4472
I8 0.3693 0.4550 0.3253
I9 0.3959 0.1470 0.7814
```

Calculated volume (Å³/f.u.): 580.3
Formation energy (no corrections) (kJ/mol of formula units): -767
Electronic total energy (eV per atom): -4.29

---

(3)
Sc2Mn2I | GGA-PBE | optimized geometry

Cell and atoms, written as CIF:
```
data_Sc2Mn2I
_cell_length_a 7.6323
_cell_length_b 7.6323
_cell_length_c 3.8017
_cell_angle_alpha 90.00
_cell_angle_beta 90.00
_cell_angle_gamma 90.00
_symmetry_space_group_name_H-M 'P 4/m b m'
_symmetry_Int_Tables_number 127
_symmetry_space_group_name_Hall '-P 4 2ab'
loop_
_atom_site_label
_atom_site_fract_x
_atom_site_fract_y
_atom_site_fract_z
Sc1 0.1551 0.3449 0.0000
Mn1 0.1228 0.6228 0.5000
I1 0.0000 0.0000 0.0000
```

Calculated volume (Å³/f.u.): 110.7
Formation energy (no corrections) (kJ/mol of formula units): 104
Electronic total energy (eV per atom): -6.30

---

(4)
ScMnI6 | GGA-PBE | optimized geometry

Cell and atoms, written as CIF:
```
data_ScMnI6
_cell_length_a 7.1881
_cell_length_b 7.1881
_cell_length_c 19.3764
_cell_angle_alpha 90.00
_cell_angle_beta 90.00
_cell_angle_gamma 120.00
_symmetry_space_group_name_H-M 'R -3'
_symmetry_Int_Tables_number 148
_symmetry_space_group_name_Hall '-R 3'
loop_
_atom_site_label
_atom_site_fract_x
_atom_site_fract_y
_atom_site_fract_z
Sc1 0.0000 0.0000 0.0000
Mn1 0.0000 0.0000 0.5000
I1 0.0062 0.3467 0.2493
```

Calculated volume (Å³/f.u.): 289.0
Formation energy (no corrections) (kJ/mol of formula units): -516
Electronic total energy (eV per atom): -3.77

---

(5)
Sc2MnI8 | GGA-PBE | optimized geometry

Cell and atoms, written as CIF:
```
data_Sc2MnI8
_cell_length_a 22.2895
_cell_length_b 3.8609
_cell_length_c 10.6784
_cell_angle_alpha 90.00
_cell_angle_beta 92.70
_cell_angle_gamma 90.00
_symmetry_space_group_name_H-M 'C 1 2/m 1'
_symmetry_Int_Tables_number 12
loop_
_symmetry_equiv_pos_as_xyz
'x,y,z'
'-x,-y,-z'
'-x,y,-z'
'x,-y,z'
'x+1/2,y+1/2,z'
'-x+1/2,-y+1/2,-z'
'-x+1/2,y+1/2,-z'
'x+1/2,-y+1/2,z'
loop_
_atom_site_label
_atom_site_fract_x
_atom_site_fract_y
_atom_site_fract_z
Sc1 0.1656 0.0000 0.2299
Mn1 0.0000 0.5000 0.5000
I1 0.0278 0.0000 0.6811
I2 0.1010 0.5000 0.0699
I3 0.1378 0.5000 0.4299
I4 0.2369 0.0000 0.7966
```

Calculated volume (Å³/f.u.): 459.0
Formation energy (no corrections) (kJ/mol of formula units): -999
Electronic total energy (eV per atom): -4.05

---

(6)
ScMn2I8 | GGA-PBE | optimized geometry

Cell and atoms, written as CIF:
```
data_ScMn2I8
_cell_length_a 12.0704
_cell_length_b 12.3885
_cell_length_c 7.0165
_cell_angle_alpha 90.00
_cell_angle_beta 99.92
_cell_angle_gamma 90.00
_symmetry_space_group_name_H-M 'C 1 2/m 1'
_symmetry_Int_Tables_number 12
loop_
_symmetry_equiv_pos_as_xyz
'x,y,z'
'-x,-y,-z'
'-x,y,-z'
'x,-y,z'
'x+1/2,y+1/2,z'
'-x+1/2,-y+1/2,-z'
'-x+1/2,y+1/2,-z'
'x+1/2,-y+1/2,z'
loop_
_atom_site_label
_atom_site_fract_x
_atom_site_fract_y
_atom_site_fract_z
Sc1 0.0000 0.0000 0.0000
Mn1 0.2081 0.0000 0.6622
I1 0.0756 0.5000 0.2198
I2 0.0972 0.1667 0.7908
I3 0.2128 0.0000 0.2841
```

Calculated volume (Å³/f.u.): 516.8
Formation energy (no corrections) (kJ/mol of formula units): -684
Electronic total energy (eV per atom): -4.01

---

(7)
Sc3MnI | GGA-PBE | optimized geometry

Cell and atoms, written as CIF:
```
data_Sc3MnI
_cell_length_a 5.2397
_cell_length_b 5.2397
_cell_length_c 5.2397
_cell_angle_alpha 90.00
_cell_angle_beta 90.00
_cell_angle_gamma 90.00
_symmetry_space_group_name_H-M 'P m -3 m'
_symmetry_Int_Tables_number 221
_symmetry_space_group_name_Hall '-P 4 2 3'
loop_
_atom_site_label
_atom_site_fract_x
_atom_site_fract_y
_atom_site_fract_z
Sc1 0.0000 0.0000 0.5000
Mn1 0.5000 0.5000 0.5000
I1 0.0000 0.0000 0.0000
```

Calculated volume (Å³/f.u.): 143.9
Formation energy (no corrections) (kJ/mol of formula units): 306
Electronic total energy (eV per atom): -5.31

---

(8)
Sc2Mn2I | GGA-PBE | optimized geometry

Cell and atoms, written as CIF:
```
data_Sc2Mn2I
_cell_length_a 3.4868
_cell_length_b 3.4868
_cell_length_c 16.8490
_cell_angle_alpha 90.00
_cell_angle_beta 90.00
_cell_angle_gamma 90.00
_symmetry_space_group_name_H-M 'I 4/m m m'
_symmetry_Int_Tables_number 139
_symmetry_space_group_name_Hall '-I 4 2'
loop_
_atom_site_label
_atom_site_fract_x
_atom_site_fract_y
_atom_site_fract_z
Sc1 0.0000 0.0000 0.1299
Mn1 0.0000 0.5000 0.2500
I1 0.0000 0.0000 0.5000
```

Calculated volume (Å³/f.u.): 102.4
Formation energy (no corrections) (kJ/mol of formula units): 38
Electronic total energy (eV per atom): -6.43

---

(9)
ScMn3I | GGA-PBE | optimized geometry

Cell and atoms, written as CIF:
```
data_ScMn3I
_cell_length_a 4.9839
_cell_length_b 4.9839
_cell_length_c 4.9839
_cell_angle_alpha 90.00
_cell_angle_beta 90.00
_cell_angle_gamma 90.00
_symmetry_space_group_name_H-M 'P m -3 m'
_symmetry_Int_Tables_number 221
_symmetry_space_group_name_Hall '-P 4 2 3'
loop_
_atom_site_label
_atom_site_fract_x
_atom_site_fract_y
_atom_site_fract_z
Sc1 0.0000 0.0000 0.0000
Mn1 0.0000 0.0000 0.5000
I1 0.5000 0.5000 0.5000
```

Calculated volume (Å³/f.u.): 123.8
Formation energy (no corrections) (kJ/mol of formula units): 638
Electronic total energy (eV per atom): -5.76

---

(10)
Sc3MnI | GGA-PBE | optimized geometry

Cell and atoms, written as CIF:
```
data_Sc3MnI
_cell_length_a 4.9456
_cell_length_b 4.9456
_cell_length_c 4.9456
_cell_angle_alpha 90.00
_cell_angle_beta 90.00
_cell_angle_gamma 90.00
_symmetry_space_group_name_H-M 'P m -3 m'
_symmetry_Int_Tables_number 221
_symmetry_space_group_name_Hall '-P 4 2 3'
loop_
_atom_site_label
_atom_site_fract_x
_atom_site_fract_y
_atom_site_fract_z
Sc1 0.0000 0.0000 0.5000
Mn1 0.0000 0.0000 0.0000
I1 0.5000 0.5000 0.5000
```

Calculated volume (Å³/f.u.): 121.0
Formation energy (no corrections) (kJ/mol of formula units): 74
Electronic total energy (eV per atom): -5.79

---

(11)
ScMnI | GGA-PBE | optimized geometry

Cell and atoms, written as CIF:
```
data_ScMnI
_cell_length_a 3.7709
_cell_length_b 3.7709
_cell_length_c 36.2575
_cell_angle_alpha 90.00
_cell_angle_beta 90.00
_cell_angle_gamma 120.00
_symmetry_space_group_name_H-M 'R -3 m'
_symmetry_Int_Tables_number 166
_symmetry_space_group_name_Hall '-R 3 2"'
loop_
_atom_site_label
_atom_site_fract_x
_atom_site_fract_y
_atom_site_fract_z
Sc1 0.0000 0.0000 0.0535
Mn1 0.0000 0.0000 0.3353
I1 0.0000 0.0000 0.2240
```

Calculated volume (Å³/f.u.): 74.4
Formation energy (no corrections) (kJ/mol of formula units): -166
Electronic total energy (eV per atom): -6.26

---

(12)
ScMnTlI6 | GGA-PBE | optimized geometry

Cell and atoms, written as CIF:
```
data_ScMnTlI6
_cell_length_a 7.5219
_cell_length_b 7.5219
_cell_length_c 15.3832
_cell_angle_alpha 90.00
_cell_angle_beta 90.00
_cell_angle_gamma 120.00
_symmetry_space_group_name_H-M 'P -3 1 c'
_symmetry_Int_Tables_number 163
_symmetry_space_group_name_Hall '-P 3 2c'
loop_
_atom_site_label
_atom_site_fract_x
_atom_site_fract_y
_atom_site_fract_z
Sc1 0.3333 0.6667 0.2500
Mn1 0.3333 0.6667 0.7500
Tl1 0.0000 0.0000 0.0000
I1 0.0000 0.3700 0.1417
```

Calculated volume (Å³/f.u.): 376.9
Formation energy (no corrections) (kJ/mol of formula units): -719
Electronic total energy (eV per atom): -3.85

---

(13)
Sc2MnWI | GGA-PBE | optimized geometry

Cell and atoms, written as CIF:
```
data_Sc2MnWI
_cell_length_a 5.3290
_cell_length_b 5.3290
_cell_length_c 4.5395
_cell_angle_alpha 90.00
_cell_angle_beta 90.00
_cell_angle_gamma 90.00
_symmetry_space_group_name_H-M 'P 4/m m m'
_symmetry_Int_Tables_number 123
_symmetry_space_group_name_Hall '-P 4 2'
loop_
_atom_site_label
_atom_site_fract_x
_atom_site_fract_y
_atom_site_fract_z
Sc1 0.0000 0.5000 0.0000
Mn1 0.0000 0.0000 0.5000
W1 0.0000 0.0000 0.0000
I1 0.5000 0.5000 0.5000
```

Calculated volume (Å³/f.u.): 128.9
Formation energy (no corrections) (kJ/mol of formula units): 333
Electronic total energy (eV per atom): -6.58

---

(14)
MnSe2I | GGA-PBE | optimized geometry

Cell and atoms, written as CIF:
```
data_MnSe2I
_cell_length_a 6.8280
_cell_length_b 6.8280
_cell_length_c 6.8280
_cell_angle_alpha 90.00
_cell_angle_beta 90.00
_cell_angle_gamma 90.00
_symmetry_space_group_name_H-M 'F m -3 m'
_symmetry_Int_Tables_number 225
_symmetry_space_group_name_Hall '-F 4 2 3'
loop_
_atom_site_label
_atom_site_fract_x
_atom_site_fract_y
_atom_site_fract_z
Mn1 0.0000 0.0000 0.0000
Se1 0.2500 0.2500 0.2500
I1 0.0000 0.0000 0.5000
```

Calculated volume (Å³/f.u.): 79.6
Formation energy (no corrections) (kJ/mol of formula units): 415
Electronic total energy (eV per atom): -3.35

---

(15)
MnSe2I | GGA-PBE | optimized geometry

Cell and atoms, written as CIF:
```
data_MnSe2I
_cell_length_a 9.2147
_cell_length_b 3.6642
_cell_length_c 12.2305
_cell_angle_alpha 90.00
_cell_angle_beta 90.00
_cell_angle_gamma 90.00
_symmetry_space_group_name_H-M 'P n m a'
_symmetry_Int_Tables_number 62
loop_
_symmetry_equiv_pos_as_xyz
'x,y,z'
'-x,-y,-z'
'-x+1/2,-y,z+1/2'
'x+1/2,y,-z+1/2'
'x+1/2,-y+1/2,-z+1/2'
'-x+1/2,y+1/2,z+1/2'
'-x,y+1/2,-z'
'x,-y+1/2,z'
loop_
_atom_site_label
_atom_site_fract_x
_atom_site_fract_y
_atom_site_fract_z
Mn1 0.0845 0.2500 0.1158
Se1 0.0826 0.2500 0.3017
Se2 0.0911 0.2500 0.9067
I1 0.1945 0.2500 0.6084
```

Calculated volume (Å³/f.u.): 103.2
Formation energy (no corrections) (kJ/mol of formula units): -54
Electronic total energy (eV per atom): -4.56

---

(16)
Mn3SeI | GGA-PBE | optimized geometry

Cell and atoms, written as CIF:
```
data_Mn3SeI
_cell_length_a 4.8345
_cell_length_b 4.8345
_cell_length_c 4.8345
_cell_angle_alpha 90.00
_cell_angle_beta 90.00
_cell_angle_gamma 90.00
_symmetry_space_group_name_H-M 'P m -3 m'
_symmetry_Int_Tables_number 221
_symmetry_space_group_name_Hall '-P 4 2 3'
loop_
_atom_site_label
_atom_site_fract_x
_atom_site_fract_y
_atom_site_fract_z
Mn1 0.0000 0.0000 0.5000
Se1 0.0000 0.0000 0.0000
I1 0.5000 0.5000 0.5000
```

Calculated volume (Å³/f.u.): 113.0
Formation energy (no corrections) (kJ/mol of formula units): 260
Electronic total energy (eV per atom): -5.97

---

(17)
MnSe2I | GGA-PBE | optimized geometry

Cell and atoms, written as CIF:
```
data_MnSe2I
_cell_length_a 5.6089
_cell_length_b 5.6089
_cell_length_c 11.9992
_cell_angle_alpha 90.00
_cell_angle_beta 90.00
_cell_angle_gamma 90.00
_symmetry_space_group_name_H-M 'I 41/a m d'
_symmetry_Int_Tables_number 141
loop_
_symmetry_equiv_pos_as_xyz
'x,y,z'
'-x,-y,-z'
'-y+1/4,x+3/4,z+1/4'
'y+1/4,-x+3/4,-z+1/4'
'-x+1/2,-y,z+1/2'
'x+1/2,y,-z+1/2'
'y+1/4,-x+1/4,z+3/4'
'-y+1/4,x+1/4,-z+3/4'
'x,-y,-z'
'-x,y,z'
'-y+1/4,-x+1/4,-z+3/4'
'y+1/4,x+1/4,z+3/4'
'-x+1/2,y,-z+1/2'
'x+1/2,-y,z+1/2'
'y+1/4,x+3/4,-z+1/4'
'-y+1/4,-x+3/4,z+1/4'
'x+1/2,y+1/2,z+1/2'
'-x+1/2,-y+1/2,-z+1/2'
'-y+3/4,x+1/4,z+3/4'
'y+3/4,-x+1/4,-z+3/4'
'-x,-y+1/2,z'
'x,y+1/2,-z'
'y+3/4,-x+3/4,z+1/4'
'-y+3/4,x+3/4,-z+1/4'
'x+1/2,-y+1/2,-z+1/2'
'-x+1/2,y+1/2,z+1/2'
'-y+3/4,-x+3/4,-z+1/4'
'y+3/4,x+3/4,z+1/4'
'-x,y+1/2,-z'
'x,-y+1/2,z'
'y+3/4,x+1/4,-z+3/4'
'-y+3/4,-x+1/4,z+3/4'
loop_
_atom_site_label
_atom_site_fract_x
_atom_site_fract_y
_atom_site_fract_z
Mn1 0.0000 0.2500 0.3750
Se1 0.0000 0.2500 0.1784
I1 0.0000 0.2500 0.8750
```

Calculated volume (Å³/f.u.): 94.4
Formation energy (no corrections) (kJ/mol of formula units): 166
Electronic total energy (eV per atom): -3.99

---

(18)
MnSe2I | GGA-PBE | optimized geometry

Cell and atoms, written as CIF:
```
data_MnSe2I
_cell_length_a 5.5625
_cell_length_b 7.2630
_cell_length_c 8.2318
_cell_angle_alpha 83.37
_cell_angle_beta 70.99
_cell_angle_gamma 68.07
_symmetry_space_group_name_H-M 'P -1'
_symmetry_Int_Tables_number 2
loop_
_symmetry_equiv_pos_as_xyz
'x,y,z'
'-x,-y,-z'
loop_
_atom_site_label
_atom_site_fract_x
_atom_site_fract_y
_atom_site_fract_z
Mn1 0.2494 0.0029 0.9998
Se1 0.1316 0.7387 0.0007
Se2 0.3891 0.0021 0.2262
I1 0.2711 0.5073 0.4491
```

Calculated volume (Å³/f.u.): 145.8
Formation energy (no corrections) (kJ/mol of formula units): -66
Electronic total energy (eV per atom): -4.59

---

(19)
MnSe2I | GGA-PBE | optimized geometry

Cell and atoms, written as CIF:
```
data_MnSe2I
_cell_length_a 5.2640
_cell_length_b 7.5672
_cell_length_c 7.9549
_cell_angle_alpha 112.58
_cell_angle_beta 109.09
_cell_angle_gamma 90.24
_symmetry_space_group_name_H-M 'P -1'
_symmetry_Int_Tables_number 2
loop_
_symmetry_equiv_pos_as_xyz
'x,y,z'
'-x,-y,-z'
loop_
_atom_site_label
_atom_site_fract_x
_atom_site_fract_y
_atom_site_fract_z
Mn1 0.2500 0.0000 0.9997
Se1 0.0200 0.2529 0.0376
Se2 0.3745 0.9688 0.7462
I1 0.1957 0.6199 0.3886
```

Calculated volume (Å³/f.u.): 136.7
Formation energy (no corrections) (kJ/mol of formula units): -78
Electronic total energy (eV per atom): -4.62

---

(20)
MnSe2I | GGA-PBE | optimized geometry

Cell and atoms, written as CIF:
```
data_MnSe2I
_cell_length_a 3.3053
_cell_length_b 31.1891
_cell_length_c 4.0007
_cell_angle_alpha 90.00
_cell_angle_beta 90.00
_cell_angle_gamma 90.00
_symmetry_space_group_name_H-M 'C m c m'
_symmetry_Int_Tables_number 63
_symmetry_space_group_name_Hall '-C 2c 2'
loop_
_atom_site_label
_atom_site_fract_x
_atom_site_fract_y
_atom_site_fract_z
Mn1 0.0000 0.1955 0.2500
Se1 0.0000 0.2792 0.2500
Se2 0.0000 0.3617 0.7500
I1 0.0000 0.4486 0.2500
```

Calculated volume (Å³/f.u.): 103.1
Formation energy (no corrections) (kJ/mol of formula units): -27
Electronic total energy (eV per atom): -4.49